# 1
# LaFeN (PBE-GGA, optimized geometry)
# DOS(E_F) in states/eV per atom: 0.3137
# Density in Mg/m³: 6.730
# Crystal system: monoclinic
# Formation energy (no corrections) in eV per atom: -0.529
# Total magnetic moment in μB/f.u.: 0.926
data_LaFeN
_chemical_formula_sum 'La4 Fe4 N4'
_cell_length_a 5.9921
_cell_length_b 4.4564
_cell_length_c 8.0127
_cell_angle_alpha 90.00
_cell_angle_beta 105.65
_cell_angle_gamma 90.00
_space_group_name_H-M_alt 'C 1 2 1'
_space_group_IT_number 5
loop_
_space_group_symop_operation_xyz
'x,y,z'
'-x,y,-z'
'x+1/2,y+1/2,z'
'-x+1/2,y+1/2,-z'
loop_
_atom_site_label
_atom_site_type_symbol
_atom_site_fract_x
_atom_site_fract_y
_atom_site_fract_z
La1 La 0.1226 0.0000 0.3056
Fe1 Fe 0.2056 0.5788 0.0161
N1 N 0.0000 0.2600 0.0000
N2 N 0.0000 0.6196 0.5000



# 2
# TaIn2Te (PBE-GGA, optimized geometry)
# DOS(E_F) in states/eV per atom: 1.0794
# Density in Mg/m³: 9.673
# Crystal system: tetragonal
# Excess energy over the best structure of this formula in the dataset in meV per atom: 429
# Formation energy (no corrections) in eV per atom: 0.506
# Total magnetic moment in μB/f.u.: 0.000
data_TaIn2Te
_chemical_formula_sum 'Ta2 In4 Te2'
_cell_length_a 4.4607
_cell_length_b 4.4607
_cell_length_c 9.2869
_cell_angle_alpha 90.00
_cell_angle_beta 90.00
_cell_angle_gamma 90.00
_space_group_name_H-M_alt 'I -4 m 2'
_space_group_IT_number 119
_space_group_name_Hall 'I -4 -2'
loop_
_atom_site_label
_atom_site_type_symbol
_atom_site_fract_x
_atom_site_fract_y
_atom_site_fract_z
Ta1 Ta 0.0000 0.0000 0.0000
In1 In 0.0000 0.0000 0.5000
In2 In 0.0000 0.5000 0.2500
Te1 Te 0.0000 0.5000 0.7500



# 3
# LaPm5DyTm2 (PBE-GGA, optimized geometry)
# DOS(E_F) in states/eV per atom: 1.6077
# Density in Mg/m³: 7.403
# Crystal system: orthorhombic
# Formation energy in meV per atom: 154.5
# Total magnetic moment in μB/f.u.: 0.000
data_LaPm5DyTm2
_chemical_formula_sum 'La4 Pm20 Dy4 Tm8'
_cell_length_a 5.6931
_cell_length_b 20.2285
_cell_length_c 10.6290
_cell_angle_alpha 90.00
_cell_angle_beta 90.00
_cell_angle_gamma 90.00
_space_group_name_H-M_alt 'C m c 21'
_space_group_IT_number 36
loop_
_space_group_symop_operation_xyz
'x,y,z'
'-x,-y,z+1/2'
'-x,y,z'
'x,-y,z+1/2'
'x+1/2,y+1/2,z'
'-x+1/2,-y+1/2,z+1/2'
'-x+1/2,y+1/2,z'
'x+1/2,-y+1/2,z+1/2'
loop_
_atom_site_label
_atom_site_type_symbol
_atom_site_fract_x
_atom_site_fract_y
_atom_site_fract_z
La1 La 0.0000 0.0839 0.0000
Pm1 Pm 0.0000 0.0208 0.2901
Pm2 Pm 0.0000 0.1144 0.5745
Pm3 Pm 0.0000 0.2035 0.2573
Pm4 Pm 0.0000 0.2196 0.8646
Pm5 Pm 0.0000 0.4831 0.5735
Dy1 Dy 0.0000 0.3011 0.5622
Tm1 Tm 0.0000 0.3847 0.8695
Tm2 Tm 0.0000 0.3869 0.2843